First-principles (PBE+U) data for a relaxed LiMn2B2O6 crystal, as listed in Alexandria via LeMat-Bulk.

Geometry as POSCAR:
```
LiMn2B2O6
1.0
4.462 2.681 0.000
-4.462 2.681 0.000
0.000 0.757 10.329
Li Mn B O
2 4 4 12
Direct
0.869 0.837 0.574
0.837 0.869 0.074
0.523 0.159 0.625
0.806 0.500 0.867
0.159 0.523 0.125
0.500 0.806 0.367
0.482 0.171 0.125
0.854 0.480 0.379
0.171 0.482 0.625
0.480 0.854 0.879
0.468 0.088 0.812
0.639 0.216 0.440
0.220 0.164 0.116
0.741 0.429 0.094
0.918 0.507 0.659
0.164 0.220 0.616
0.848 0.734 0.392
0.088 0.468 0.312
0.734 0.848 0.892
0.429 0.741 0.594
0.216 0.639 0.940
0.507 0.918 0.159
```

Computed properties:
The total magnetization is 18.0 Bohr magnetons per cell. As for the total energy: -7.49 eV/atom.